No. 1
Material: Sn2HgPt
Method: DFT, GGA-PBE
State: relaxed

Fermi-level density of states: 3.37 states/eV/cell

```
Sn2HgPt
1.0
4.888 0.000 0.000
0.000 4.888 0.000
2.444 2.444 8.605
Hg Pt Sn
2 2 4
Direct
0.000 0.000 0.000
0.750 0.250 0.500
0.500 0.500 0.000
0.250 0.750 0.500
0.585 0.125 0.250
0.165 0.625 0.250
0.375 0.415 0.750
0.875 0.835 0.750
```

***

No. 2
Material: Th7Au2C2
Method: DFT, GGA-PBE
State: relaxed

Fermi-level density of states: 13.17 states/eV/cell

```
Th7Au2C2
1.0
-5.985 -1.111 4.535
3.259 -5.944 1.693
2.527 5.478 3.525
Th Au C
7 2 2
Direct
0.203 0.916 0.516
0.797 0.484 0.084
0.797 0.084 0.484
0.203 0.516 0.916
0.000 0.000 0.000
0.791 0.590 0.590
0.209 0.410 0.410
0.500 0.304 0.696
0.500 0.696 0.304
0.883 0.292 0.292
0.117 0.708 0.708
```

***

No. 3
Material: CuPtPb3
Method: DFT, GGA-PBE
State: relaxed

Fermi-level density of states: 3.35 states/eV/cell
Excess energy over the best structure of this formula in the dataset: 0.0 kJ/mol of formula units

```
CuPtPb3
1.0
5.399 0.000 0.000
0.000 5.399 0.000
0.000 0.000 5.399
Pb Cu Pt
3 1 1
Direct
0.000 0.500 0.000
0.000 0.000 0.500
0.500 0.000 0.000
0.500 0.500 0.500
0.000 0.000 0.000
```

***

No. 4
Material: ZnP4W
Method: DFT, GGA-PBE
State: relaxed

Fermi-level density of states: 2.72 states/eV/cell
Excess energy over the best structure of this formula in the dataset: 507.6 kJ/mol of formula units

```
ZnP4W
1.0
0.000 3.516 3.516
3.516 0.000 3.516
3.516 3.516 0.000
Zn P W
1 4 1
Direct
0.000 0.000 0.000
0.869 0.377 0.377
0.377 0.377 0.869
0.377 0.869 0.377
0.377 0.377 0.377
0.750 0.750 0.750
```

***

No. 5
Material: In2Hg5Bi
Method: DFT, GGA-PBE
State: relaxed

Fermi-level density of states: 2.48 states/eV/cell

```
In2Hg5Bi
1.0
5.467 1.414 -2.715
-1.571 5.422 -2.718
-0.330 -0.574 7.460
In Hg Bi
2 5 1
Direct
0.277 0.777 0.500
0.777 0.277 0.500
0.277 0.278 0.500
0.278 0.778 0.000
0.779 0.278 0.000
0.777 0.777 0.500
0.279 0.278 0.000
0.778 0.778 0.000
```

***

No. 6
Material: CaSmAlPd
Method: DFT, GGA-PBE
State: relaxed

Fermi-level density of states: 3.00 states/eV/cell

```
CaSmAlPd
1.0
5.137 0.000 0.000
2.569 4.449 0.000
2.569 1.483 4.194
Ca Pd Sm Al
1 1 1 1
Direct
0.750 0.750 0.750
0.000 0.000 0.000
0.250 0.250 0.250
0.500 0.500 0.500
```

***

no.,energy (eV/atom),energy relative to the elements (meV/atom)
1,-3.602,-15
2,-7.003,-8
3,-3.775,477
4,-5.145,833
5,-1.340,19
6,-4.373,-459